[1]
A relaxed Na2Zn2SbO6 crystal. Source: Alexandria, functional PBE-GGA.

Cell: 5.318 5.318 5.652 Å, 90.00 90.00 120.00°
Fractional coordinates of all 11 atoms:
Na (0.333, 0.667, 0.000)
Na (0.667, 0.333, 0.000)
Zn (0.333, 0.667, 0.500)
Zn (0.667, 0.333, 0.500)
Sb (0.000, 0.000, 0.500)
O (0.000, 0.320, 0.695)
O (0.000, 0.680, 0.305)
O (0.320, 0.000, 0.695)
O (0.320, 0.320, 0.305)
O (0.680, 0.000, 0.305)
O (0.680, 0.680, 0.695)

Results
total magnetic moment: 1.1 μB/cell
formation energy (no corrections): -1388 meV/atom
space-group type: P-31m (162)
E: -4.94 eV/atom

[2]
A relaxed NaZnSbO4 crystal. Source: Alexandria, functional PBE-GGA.

Cell: 5.316 5.316 8.386 Å, 90.00 90.00 90.00°
Fractional coordinates of all 14 atoms:
Na (0.000, 0.000, 0.000)
Na (0.500, 0.500, 0.500)
Zn (0.000, 0.500, 0.750)
Zn (0.500, 0.000, 0.250)
Sb (0.000, 0.000, 0.500)
Sb (0.500, 0.500, 0.000)
O (0.178, 0.247, 0.621)
O (0.247, 0.822, 0.379)
O (0.253, 0.678, 0.879)
O (0.322, 0.253, 0.121)
O (0.678, 0.747, 0.121)
O (0.747, 0.322, 0.879)
O (0.753, 0.178, 0.379)
O (0.822, 0.753, 0.621)

Results
total magnetic moment: 0.0 μB/cell
formation energy (no corrections): -1416 meV/atom
space-group type: I-4 (82)
E: -5.21 eV/atom

[3]
A relaxed Na2ZrSbO6 crystal. Source: Alexandria, functional PBE-GGA.

Cell: 5.719 5.719 5.719 Å, 59.44 59.44 59.44°
Fractional coordinates of all 10 atoms:
Na (0.000, 0.000, 0.000)
Na (0.498, 0.498, 0.498)
Zr (0.749, 0.749, 0.749)
Sb (0.249, 0.249, 0.249)
O (0.006, 0.427, 0.556)
O (0.070, 0.941, 0.490)
O (0.427, 0.556, 0.006)
O (0.490, 0.070, 0.941)
O (0.556, 0.006, 0.427)
O (0.941, 0.490, 0.070)

Results
total magnetic moment: 1.0 μB/cell
formation energy (no corrections): -1980 meV/atom
space-group type: R3 (146)
E: -6.49 eV/atom

[4]
A relaxed NaSc3O crystal. Source: Alexandria, functional PBE-GGA.

Cell: 4.579 4.579 4.579 Å, 90.00 90.00 90.00°
Fractional coordinates of all 5 atoms:
Na (0.000, 0.000, 0.000)
Sc (0.000, 0.500, 0.500)
Sc (0.500, 0.000, 0.500)
Sc (0.500, 0.500, 0.000)
O (0.500, 0.500, 0.500)

Results
total magnetic moment: 0.0 μB/cell
formation energy (no corrections): -844 meV/atom
space-group type: Pm-3m (221)
E: -5.90 eV/atom
ΔE to the lowest computed polymorph: 0.000 eV per atom

[5]
A relaxed NaSc2O crystal. Source: Alexandria, functional PBE-GGA.

Cell: 6.566 6.566 9.020 Å, 90.00 90.00 90.00°
Fractional coordinates of all 16 atoms:
Na (0.000, 0.000, 0.000)
Na (0.000, 0.500, 0.250)
Na (0.500, 0.000, 0.750)
Na (0.500, 0.500, 0.500)
Sc (0.078, 0.250, 0.625)
Sc (0.250, 0.578, 0.875)
Sc (0.250, 0.922, 0.375)
Sc (0.422, 0.250, 0.125)
Sc (0.578, 0.750, 0.125)
Sc (0.750, 0.078, 0.375)
Sc (0.750, 0.422, 0.875)
Sc (0.922, 0.750, 0.625)
O (0.000, 0.000, 0.500)
O (0.000, 0.500, 0.750)
O (0.500, 0.000, 0.250)
O (0.500, 0.500, 0.000)

Results
total magnetic moment: 3.5 μB/cell
formation energy (no corrections): -1129 meV/atom
space-group type: I-42d (122)
E: -5.86 eV/atom

[6]
A relaxed NaSc2O3 crystal. Source: Alexandria, functional PBE-GGA.

Cell: 3.098 10.563 5.490 Å, 90.00 90.00 90.00°
Fractional coordinates of all 12 atoms:
Na (0.000, 0.118, 0.000)
Na (0.000, 0.882, 0.500)
Sc (0.000, 0.286, 0.521)
Sc (0.000, 0.714, 0.021)
Sc (0.500, 0.421, 0.969)
Sc (0.500, 0.579, 0.469)
O (0.000, 0.468, 0.674)
O (0.000, 0.532, 0.174)
O (0.500, 0.253, 0.773)
O (0.500, 0.307, 0.275)
O (0.500, 0.693, 0.775)
O (0.500, 0.747, 0.273)

Results
total magnetic moment: 0.0 μB/cell
formation energy (no corrections): -2746 meV/atom
space-group type: Pmc2_1 (26)
E: -7.56 eV/atom

[7]
A relaxed NaSc3O crystal. Source: Alexandria, functional PBE-GGA.

Cell: 5.128 5.128 5.128 Å, 90.00 90.00 90.00°
Fractional coordinates of all 5 atoms:
Na (0.000, 0.000, 0.000)
Sc (0.000, 0.000, 0.500)
Sc (0.000, 0.500, 0.000)
Sc (0.500, 0.000, 0.000)
O (0.500, 0.500, 0.500)

Results
total magnetic moment: 0.0 μB/cell
formation energy (no corrections): 1322 meV/atom
space-group type: Pm-3m (221)
E: -3.73 eV/atom
ΔE to the lowest computed polymorph: 2.166 eV per atom

[8]
A relaxed NaSc2O crystal. Source: Alexandria, functional PBE-GGA.

Cell: 3.242 3.242 26.382 Å, 90.00 90.00 120.00°
Fractional coordinates of all 12 atoms:
Na (0.000, 0.000, 0.000)
Na (0.333, 0.667, 0.667)
Na (0.667, 0.333, 0.333)
Sc (0.000, 0.000, 0.121)
Sc (0.000, 0.000, 0.879)
Sc (0.333, 0.667, 0.546)
Sc (0.333, 0.667, 0.787)
Sc (0.667, 0.333, 0.213)
Sc (0.667, 0.333, 0.454)
O (0.000, 0.000, 0.500)
O (0.333, 0.667, 0.167)
O (0.667, 0.333, 0.833)

Results
total magnetic moment: 0.0 μB/cell
formation energy (no corrections): -1221 meV/atom
space-group type: R-3m (166)
E: -5.96 eV/atom

[9]
A relaxed Na2ScSe2O6 crystal. Source: Alexandria, functional PBE-GGA.

Cell: 5.229 5.229 6.556 Å, 107.98 107.98 69.38°
Fractional coordinates of all 11 atoms:
Na (0.195, 0.195, 0.121)
Na (0.805, 0.805, 0.879)
Sc (0.000, 0.000, 0.500)
Se (0.423, 0.423, 0.751)
Se (0.577, 0.577, 0.249)
O (0.197, 0.710, 0.240)
O (0.251, 0.251, 0.504)
O (0.290, 0.803, 0.760)
O (0.710, 0.197, 0.240)
O (0.749, 0.749, 0.496)
O (0.803, 0.290, 0.760)

Results
total magnetic moment: 0.0 μB/cell
formation energy (no corrections): -1507 meV/atom
space-group type: C2/m (12)
E: -5.66 eV/atom

[10]
A relaxed NaSc3Se4O12 crystal. Source: Alexandria, functional PBE-GGA.

Cell: 7.337 7.337 7.337 Å, 107.90 107.90 107.90°
Fractional coordinates of all 20 atoms:
Na (0.000, 0.000, 0.000)
Sc (0.000, 0.572, 0.428)
Sc (0.428, 0.000, 0.572)
Sc (0.572, 0.428, 0.000)
Se (0.068, 0.500, 0.932)
Se (0.500, 0.500, 0.500)
Se (0.500, 0.932, 0.068)
Se (0.932, 0.068, 0.500)
O (0.084, 0.633, 0.773)
O (0.121, 0.879, 0.500)
O (0.227, 0.367, 0.916)
O (0.340, 0.660, 0.500)
O (0.367, 0.916, 0.227)
O (0.500, 0.121, 0.879)
O (0.500, 0.340, 0.660)
O (0.633, 0.773, 0.084)
O (0.660, 0.500, 0.340)
O (0.773, 0.084, 0.633)
O (0.879, 0.500, 0.121)
O (0.916, 0.227, 0.367)

Results
total magnetic moment: 1.1 μB/cell
formation energy (no corrections): -1532 meV/atom
space-group type: R32 (155)
E: -6.22 eV/atom

[11]
A relaxed Na2ScSeO4 crystal. Source: Alexandria, functional PBE-GGA.

Cell: 5.927 5.927 6.431 Å, 90.00 90.00 90.00°
Fractional coordinates of all 16 atoms:
Na (0.000, 0.000, 0.000)
Na (0.000, 0.500, 0.250)
Na (0.500, 0.000, 0.750)
Na (0.500, 0.500, 0.500)
Sc (0.000, 0.000, 0.500)
Sc (0.500, 0.500, 0.000)
Se (0.000, 0.500, 0.750)
Se (0.500, 0.000, 0.250)
O (0.166, 0.206, 0.697)
O (0.206, 0.834, 0.303)
O (0.294, 0.666, 0.803)
O (0.334, 0.294, 0.197)
O (0.666, 0.706, 0.197)
O (0.706, 0.334, 0.803)
O (0.794, 0.166, 0.303)
O (0.834, 0.794, 0.697)

Results
total magnetic moment: 2.0 μB/cell
formation energy (no corrections): -1701 meV/atom
space-group type: I-4 (82)
E: -5.74 eV/atom

[12]
A relaxed Na2ScSiO4 crystal. Source: Alexandria, functional PBE-GGA.

Cell: 6.101 6.101 5.582 Å, 90.00 90.00 90.00°
Fractional coordinates of all 16 atoms:
Na (0.000, 0.500, 0.000)
Na (0.000, 0.500, 0.500)
Na (0.500, 0.000, 0.000)
Na (0.500, 0.000, 0.500)
Sc (0.000, 0.000, 0.000)
Sc (0.500, 0.500, 0.500)
Si (0.000, 0.000, 0.500)
Si (0.500, 0.500, 0.000)
O (0.150, 0.150, 0.310)
O (0.150, 0.850, 0.690)
O (0.350, 0.350, 0.810)
O (0.350, 0.650, 0.190)
O (0.650, 0.350, 0.190)
O (0.650, 0.650, 0.810)
O (0.850, 0.150, 0.690)
O (0.850, 0.850, 0.310)

Results
total magnetic moment: 1.6 μB/cell
formation energy (no corrections): -2177 meV/atom
space-group type: I-42m (121)
E: -6.46 eV/atom

[13]
A relaxed Na3ScSi2O7 crystal. Source: Alexandria, functional PBE-GGA.

Cell: 9.455 13.224 5.400 Å, 90.00 90.00 90.00°
Fractional coordinates of all 52 atoms:
Na (0.018, 0.250, 0.017)
Na (0.155, 0.593, 0.518)
Na (0.155, 0.907, 0.518)
Na (0.345, 0.093, 0.018)
Na (0.345, 0.407, 0.018)
Na (0.482, 0.750, 0.517)
Na (0.518, 0.250, 0.483)
Na (0.655, 0.593, 0.982)
Na (0.655, 0.907, 0.982)
Na (0.845, 0.093, 0.482)
Na (0.845, 0.407, 0.482)
Na (0.982, 0.750, 0.983)
Sc (0.000, 0.000, 0.000)
Sc (0.000, 0.500, 0.000)
Sc (0.500, 0.000, 0.500)
Sc (0.500, 0.500, 0.500)
Si (0.176, 0.132, 0.512)
Si (0.176, 0.368, 0.512)
Si (0.324, 0.632, 0.012)
Si (0.324, 0.868, 0.012)
Si (0.676, 0.132, 0.988)
Si (0.676, 0.368, 0.988)
Si (0.824, 0.632, 0.488)
Si (0.824, 0.868, 0.488)
O (0.090, 0.060, 0.319)
O (0.090, 0.440, 0.319)
O (0.125, 0.250, 0.439)
O (0.128, 0.108, 0.798)
O (0.128, 0.392, 0.798)
O (0.154, 0.619, 0.972)
O (0.154, 0.881, 0.972)
O (0.346, 0.119, 0.472)
O (0.346, 0.381, 0.472)
O (0.372, 0.608, 0.298)
O (0.372, 0.892, 0.298)
O (0.375, 0.750, 0.939)
O (0.410, 0.560, 0.819)
O (0.410, 0.940, 0.819)
O (0.590, 0.060, 0.181)
O (0.590, 0.440, 0.181)
O (0.625, 0.250, 0.061)
O (0.628, 0.108, 0.702)
O (0.628, 0.392, 0.702)
O (0.654, 0.619, 0.528)
O (0.654, 0.881, 0.528)
O (0.846, 0.119, 0.028)
O (0.846, 0.381, 0.028)
O (0.872, 0.608, 0.202)
O (0.872, 0.892, 0.202)
O (0.875, 0.750, 0.561)
O (0.910, 0.560, 0.681)
O (0.910, 0.940, 0.681)

Results
total magnetic moment: 0.0 μB/cell
formation energy (no corrections): -2653 meV/atom
space-group type: Pnma (62)
E: -6.95 eV/atom

[14]
A relaxed Na2ScSi2O6 crystal. Source: Alexandria, functional PBE-GGA.

Cell: 5.486 5.486 6.310 Å, 116.65 116.65 62.08°
Fractional coordinates of all 11 atoms:
Na (0.202, 0.202, 0.154)
Na (0.798, 0.798, 0.846)
Sc (0.000, 0.000, 0.500)
Si (0.454, 0.454, 0.773)
Si (0.546, 0.546, 0.227)
O (0.211, 0.692, 0.227)
O (0.254, 0.254, 0.613)
O (0.308, 0.789, 0.773)
O (0.692, 0.211, 0.227)
O (0.746, 0.746, 0.387)
O (0.789, 0.308, 0.773)

Results
total magnetic moment: 1.0 μB/cell
formation energy (no corrections): -2470 meV/atom
space-group type: C2/m (12)
E: -6.98 eV/atom

[15]
A relaxed NaSc2SnO crystal. Source: Alexandria, functional PBE-GGA.

Cell: 4.434 4.434 4.582 Å, 90.00 90.00 90.00°
Fractional coordinates of all 5 atoms:
Na (0.000, 0.000, 0.000)
Sc (0.000, 0.500, 0.500)
Sc (0.500, 0.000, 0.500)
Sn (0.500, 0.500, 0.000)
O (0.000, 0.000, 0.500)

Results
total magnetic moment: 0.0 μB/cell
formation energy (no corrections): -1385 meV/atom
space-group type: P4/mmm (123)
E: -5.97 eV/atom

[16]
A relaxed Na4Sc3SnO8 crystal. Source: Alexandria, functional PBE-GGA.

Cell: 6.662 6.662 6.662 Å, 58.27 58.27 58.27°
Fractional coordinates of all 16 atoms:
Na (0.000, 0.000, 0.000)
Na (0.000, 0.500, 0.500)
Na (0.500, 0.000, 0.500)
Na (0.500, 0.500, 0.000)
Sc (0.000, 0.000, 0.500)
Sc (0.000, 0.500, 0.000)
Sc (0.500, 0.000, 0.000)
Sn (0.500, 0.500, 0.500)
O (0.223, 0.742, 0.742)
O (0.234, 0.234, 0.234)
O (0.258, 0.258, 0.777)
O (0.258, 0.777, 0.258)
O (0.742, 0.223, 0.742)
O (0.742, 0.742, 0.223)
O (0.766, 0.766, 0.766)
O (0.777, 0.258, 0.258)

Results
total magnetic moment: 0.0 μB/cell
formation energy (no corrections): -2458 meV/atom
space-group type: R-3m (166)
E: -6.70 eV/atom

[17]
A relaxed Na3Sc2SnO6 crystal. Source: Alexandria, functional PBE-GGA.

Cell: 5.645 5.645 5.842 Å, 99.31 99.31 120.00°
Fractional coordinates of all 12 atoms:
Na (0.000, 0.000, 0.000)
Na (0.334, 0.666, 0.000)
Na (0.666, 0.334, 0.000)
Sc (0.167, 0.833, 0.500)
Sc (0.833, 0.167, 0.500)
Sn (0.500, 0.500, 0.500)
O (0.083, 0.431, 0.294)
O (0.221, 0.221, 0.708)
O (0.431, 0.083, 0.294)
O (0.569, 0.917, 0.706)
O (0.779, 0.779, 0.292)
O (0.917, 0.569, 0.706)

Results
total magnetic moment: 0.0 μB/cell
formation energy (no corrections): -2324 meV/atom
space-group type: C2/m (12)
E: -6.52 eV/atom

[18]
A relaxed Na3Sc3SnO8 crystal. Source: Alexandria, functional PBE-GGA.

Cell: 6.669 6.669 6.669 Å, 57.12 57.12 57.12°
Fractional coordinates of all 15 atoms:
Na (0.000, 0.500, 0.500)
Na (0.500, 0.000, 0.500)
Na (0.500, 0.500, 0.000)
Sc (0.000, 0.000, 0.500)
Sc (0.000, 0.500, 0.000)
Sc (0.500, 0.000, 0.000)
Sn (0.500, 0.500, 0.500)
O (0.232, 0.232, 0.232)
O (0.241, 0.729, 0.729)
O (0.271, 0.271, 0.759)
O (0.271, 0.759, 0.271)
O (0.729, 0.241, 0.729)
O (0.729, 0.729, 0.241)
O (0.759, 0.271, 0.271)
O (0.768, 0.768, 0.768)

Results
total magnetic moment: 0.0 μB/cell
formation energy (no corrections): -2591 meV/atom
space-group type: R-3m (166)
E: -7.03 eV/atom

[19]
A relaxed Na3Tb2ScO6 crystal. Source: Alexandria, functional PBE-GGA.

Cell: 5.830 5.830 5.883 Å, 99.41 99.41 120.06°
Fractional coordinates of all 12 atoms:
Na (0.000, 0.000, 0.000)
Na (0.341, 0.659, 0.000)
Na (0.659, 0.341, 0.000)
Tb (0.167, 0.833, 0.500)
Tb (0.833, 0.167, 0.500)
Sc (0.500, 0.500, 0.500)
O (0.114, 0.431, 0.291)
O (0.251, 0.251, 0.707)
O (0.431, 0.114, 0.291)
O (0.569, 0.886, 0.709)
O (0.749, 0.749, 0.293)
O (0.886, 0.569, 0.709)

Results
total magnetic moment: 0.0 μB/cell
formation energy (no corrections): -2786 meV/atom
space-group type: C2/m (12)
E: -6.89 eV/atom

[20]
A relaxed Na2TbScO4 crystal. Source: Alexandria, functional PBE-GGA.

Cell: 5.752 3.324 5.861 Å, 90.00 109.11 90.00°
Fractional coordinates of all 8 atoms:
Na (0.000, 0.000, 0.000)
Na (0.500, 0.500, 0.000)
Tb (0.000, 0.500, 0.500)
Sc (0.500, 0.000, 0.500)
O (0.252, 0.000, 0.709)
O (0.277, 0.500, 0.294)
O (0.723, 0.500, 0.706)
O (0.748, 0.000, 0.291)

Results
total magnetic moment: 0.0 μB/cell
formation energy (no corrections): -2785 meV/atom
space-group type: P2/m (10)
E: -6.96 eV/atom